First-principles (PBE-GGA) data for DyHfIr after structural relaxation, as listed in the Alexandria database.

Unit cell a=5.4615 b=4.7422 c=5.8273 alpha=90.00 beta=107.41 gamma=90.00
Last column: nearest neighbours and their distance in Å.
Space group P2_1/m (No. 11)
Inequivalent atoms, fractional coordinates:
Dy (0.2023, 0.2500, 0.4112)  4 Ir 2.90-3.15
Hf (0.3398, 0.7500, 0.0290)  4 Ir 2.67-2.81
Ir (0.1254, 0.2500, 0.8824)  4 Hf 2.67-2.81, 2 Dy 2.90-2.98

Results
distance to the lowest polymorph of the same formula	0.1435	eV per atom
formation energy from the elements	-0.580	eV per atom